# 1
The following is a DFT calculation (PBE) of a relaxed structure of Cu5Te4.

a b c (Å): 7.8330 7.8330 7.8330
angles (deg): 93.26 93.26 152.42
With the nearest neighbours (Å) after each atom.
Positions (direct):
Cu 0.0000 0.0000 0.0000  8 Cu 2.64, 4 Te 2.76
Cu 0.6230 0.6230 0.2460  4 Cu 2.64-2.65, 4 Te 2.70
Cu 0.3770 0.3770 0.7540  4 Cu 2.64-2.65, 4 Te 2.70
Cu 0.6230 0.3770 0.0000  4 Cu 2.64-2.65, 4 Te 2.70
Cu 0.3770 0.6230 0.0000  4 Cu 2.64-2.65, 4 Te 2.70
Te 0.0000 0.7430 0.7430  5 Cu 2.70-2.76
Te 0.7430 0.0000 0.7430  5 Cu 2.70-2.76
Te 0.0000 0.2570 0.2570  5 Cu 2.70-2.76
Te 0.2570 0.0000 0.2570  5 Cu 2.70-2.76

## Properties
- raw formation energy (eV per atom) = 0.106

---

# 2
The following is a DFT calculation (PBE) of a relaxed structure of Ba3Na2As.

a b c (Å): 6.5170 9.3203 10.2820
angles (deg): 90.07 108.48 90.00
With the nearest neighbours (Å) after each atom.
Positions (direct):
Na 0.2964 0.2513 0.5928  2 Na 3.73, 1 Ba 3.97
Na 0.7036 0.7487 0.4072  2 Na 3.73, 1 Ba 3.97
Na 0.7036 0.2487 0.4072  2 Na 3.73, 1 Ba 3.97
Na 0.2964 0.7513 0.5928  2 Na 3.73, 1 Ba 3.97
Ba 0.8830 0.4999 0.7661  2 As 3.26
Ba 0.1170 0.5001 0.2339  2 As 3.26
Ba 0.5000 0.7500 0.0000  2 As 3.26
Ba 0.5000 0.2500 0.0000  2 As 3.26
Ba 0.1169 0.0001 0.2339  2 As 3.26
Ba 0.8831 0.9999 0.7661  2 As 3.26
As 0.0000 0.2500 0.0000  6 Ba 3.26
As 0.0000 0.7500 0.0000  6 Ba 3.26

## Properties
- ΔH_f (0 K) (eV/f.u.) = -2.6

---

# 3
The following is a DFT calculation (PBE) of a relaxed structure of HfTi3Co.

a b c (Å): 5.2272 6.2168 6.2157
angles (deg): 120.00 90.00 90.00
With the nearest neighbours (Å) after each atom.
Positions (direct):
Ti 0.2500 0.8149 0.1848  2 Co 2.38
Ti 0.2500 0.8150 0.6301  2 Co 2.38
Ti 0.2500 0.3699 0.1849  2 Co 2.38
Ti 0.7500 0.1850 0.3699  2 Co 2.38
Ti 0.7500 0.6301 0.8151  2 Co 2.38
Ti 0.7500 0.1851 0.8152  2 Co 2.38
Co 0.5000 0.0000 0.0000  6 Ti 2.38, 2 Co 2.61
Co 0.0000 0.0000 0.0000  6 Ti 2.38, 2 Co 2.61
Hf 0.7500 0.6669 0.3335  12 Ti 3.06-3.11
Hf 0.2500 0.3331 0.6665  12 Ti 3.06-3.11

## Properties
- ΔH_f (0 K) (eV/f.u.) = 0.4

---

# 4
The following is a DFT calculation (PBE) of a relaxed structure of BeGa2Br.

a b c (Å): 5.6634 5.6634 7.3709
angles (deg): 67.41 67.41 90.00
With the nearest neighbours (Å) after each atom.
Positions (direct):
Ga 0.3750 0.4800 0.7500  2 Be 2.25
Ga 0.5200 0.1250 0.2500  2 Be 2.25
Ga 0.8750 0.7700 0.7500  2 Be 2.25
Ga 0.2300 0.6250 0.2500  2 Be 2.25
Be 0.2500 0.7500 0.5000  4 Ga 2.25
Be 0.5000 0.5000 0.0000  4 Ga 2.25
Br 0.0000 0.0000 0.0000  4 Ga 2.91
Br 0.7500 0.2500 0.5000  4 Ga 2.91

## Properties
- raw formation energy (eV per atom) = 0.168

---

# 5
The following is a DFT calculation (PBE) of a relaxed structure of PmInPb.

a b c (Å): 3.8538 3.8538 6.4477
angles (deg): 107.39 107.39 90.00
With the nearest neighbours (Å) after each atom.
Positions (direct):
Pm 0.2894 0.2894 0.5788  4 In 3.37, 5 Pb 3.50-3.64
In 0.9596 0.9596 0.9192  4 Pb 3.19, 4 Pm 3.37
Pb 0.6010 0.6010 0.2020  4 In 3.19, 4 Pm 3.50

## Properties
- ΔH_f (0 K) (eV/f.u.) = -0.8

---

# 6
The following is a DFT calculation (PBE) of a relaxed structure of K2Pb2F.

a b c (Å): 7.2094 7.2094 6.4291
angles (deg): 55.90 55.90 90.00
With the nearest neighbours (Å) after each atom.
Positions (direct):
Pb 0.6844 0.6844 0.6313  1 F 2.47
Pb 0.3156 0.3156 0.3687  1 F 2.47
K 0.7500 0.2500 0.5000  4 Pb 3.64, 2 K 3.92
K 0.2500 0.7500 0.5000  4 Pb 3.64, 2 K 3.92
F 0.0000 0.0000 0.0000  2 Pb 2.47

## Properties
- raw formation energy (eV per atom) = -0.489

---

# 7
The following is a DFT calculation (PBE) of a relaxed structure of ErTmZr2.

a b c (Å): 3.2546 3.2546 11.7399
angles (deg): 82.03 82.03 60.00
With the nearest neighbours (Å) after each atom.
Positions (direct):
Zr 0.0898 0.0898 0.7306  1 Er 3.12, 6 Zr 3.25, 3 Tm 3.27
Zr 0.9102 0.9102 0.2694  1 Er 3.12, 6 Zr 3.25, 3 Tm 3.27
Er 0.0000 0.0000 0.0000  2 Zr 3.12, 6 Er 3.25
Tm 0.5000 0.5000 0.5000  6 Tm 3.25, 6 Zr 3.27

## Properties
- ΔH_f (0 K) (eV/f.u.) = 1.1

---

# 8
The following is a DFT calculation (PBE) of a relaxed structure of Tl2CrCu.

a b c (Å): 5.8834 5.8834 4.7895
angles (deg): 72.89 72.89 31.86
With the nearest neighbours (Å) after each atom.
Positions (direct):
Tl 0.0150 0.0150 0.9520  4 Cr 2.92-2.93, 1 Cu 3.03, 2 Tl 3.23
Tl 0.2308 0.2308 0.3010  4 Cu 2.94-2.95, 3 Cr 3.10-3.23, 2 Tl 3.23
Cu 0.7832 0.7832 0.7619  2 Cr 2.68, 4 Tl 2.94-2.95
Cr 0.4710 0.4710 0.4850  2 Cu 2.68, 4 Tl 2.92-2.93

## Properties
- ΔH_f (0 K) (eV/f.u.) = 2.0

---

# 9
The following is a DFT calculation (PBE) of a relaxed structure of Sc2AlI.

a b c (Å): 9.6472 9.6472 9.6472
angles (deg): 22.00 22.00 22.00
With the nearest neighbours (Å) after each atom.
Positions (direct):
Al 0.5000 0.5000 0.5000  6 Sc 2.86
I 0.0000 0.0000 0.0000  2 Sc 2.79
Sc 0.0987 0.0987 0.0987  1 I 2.79, 3 Al 2.86
Sc 0.9013 0.9013 0.9013  1 I 2.79, 3 Al 2.86

## Properties
- raw formation energy (eV per atom) = -0.157

---

# 10
The following is a DFT calculation (PBE) of a relaxed structure of Er4ZnS3.

a b c (Å): 5.5535 5.5535 6.7903
angles (deg): 114.14 114.14 90.00
With the nearest neighbours (Å) after each atom.
Positions (direct):
S 0.5000 0.5000 0.0000  6 Er 2.71-2.78
S 0.7500 0.2500 0.5000  6 Er 2.77-2.78
S 0.2500 0.7500 0.5000  6 Er 2.77-2.78
Er 0.0000 0.5000 0.0000  4 S 2.77-2.78, 2 Zn 2.78
Er 0.2554 0.2554 0.5107  5 S 2.71-2.78, 1 Zn 2.83
Er 0.5000 0.0000 0.0000  4 S 2.77-2.78, 2 Zn 2.78
Er 0.7446 0.7446 0.4893  5 S 2.71-2.78, 1 Zn 2.83
Zn 0.0000 0.0000 0.0000  6 Er 2.78-2.83

## Properties
- raw formation energy (eV per atom) = -1.539

---

# 11
The following is a DFT calculation (PBE) of a relaxed structure of Ag2PdF8.

a b c (Å): 4.6831 5.9378 5.9378
angles (deg): 75.23 88.03 88.03
With the nearest neighbours (Å) after each atom.
Positions (direct):
Ag 0.7505 0.6319 0.6319  5 F 2.13-2.35
Ag 0.2495 0.3681 0.3681  5 F 2.13-2.35
F 0.2955 0.1411 0.1411  1 Pd 1.96, 1 Ag 2.14
F 0.8013 0.9265 0.3062  1 Pd 1.97
F 0.1987 0.6938 0.0735  1 Pd 1.97
F 0.7425 0.4061 0.4061  2 Ag 2.13-2.35
F 0.1987 0.0735 0.6938  1 Pd 1.97
F 0.2575 0.5939 0.5939  2 Ag 2.13-2.35
F 0.8013 0.3062 0.9265  1 Pd 1.97
F 0.7045 0.8589 0.8589  1 Pd 1.96, 1 Ag 2.14
Pd 0.0000 0.0000 0.0000  6 F 1.96-1.97

## Properties
- raw formation energy (eV per atom) = -1.157

---

# 12
The following is a DFT calculation (PBE) of a relaxed structure of CdSnAu6.

a b c (Å): 4.7438 6.0993 6.0993
angles (deg): 120.03 90.00 90.00
With the nearest neighbours (Å) after each atom.
Positions (direct):
Au 0.5000 0.9177 0.0823  8 Au 2.95-3.07, 2 Cd 2.95, 2 Sn 3.05
Au 0.5000 0.9174 0.5848  8 Au 2.95-3.07, 2 Cd 2.95, 2 Sn 3.05
Au 0.5000 0.4152 0.0826  8 Au 2.95-3.07, 2 Cd 2.95, 2 Sn 3.05
Au 0.0000 0.5866 0.9235  8 Au 2.95-3.11, 2 Sn 2.98, 2 Cd 3.05
Au 0.0000 0.0765 0.4134  8 Au 2.95-3.11, 2 Sn 2.98, 2 Cd 3.05
Au 0.0000 0.5864 0.4136  8 Au 2.95-3.11, 2 Sn 2.97, 2 Cd 3.05
Cd 0.0000 0.0833 0.9167  12 Au 2.95-3.05
Sn 0.5000 0.4166 0.5834  12 Au 2.97-3.05

## Properties
- ΔH_f (0 K) (eV/f.u.) = -0.6

---

Number 1: density 6.4 g/cm³, final energy -3.57 eV/atom. Number 2: density 3.0 g/cm³, final energy -2.60 eV/atom. Number 3: density 7.2 g/cm³, final energy -8.08 eV/atom. Number 4: density 3.8 g/cm³, final energy -2.69 eV/atom. Number 5: density 8.9 g/cm³, final energy -4.01 eV/atom. Number 6: density 4.2 g/cm³, final energy -2.79 eV/atom. Number 7: density 8.1 g/cm³, final energy -6.26 eV/atom. Number 8: density 10.5 g/cm³, final energy -4.12 eV/atom. Number 9: density 3.7 g/cm³, final energy -4.65 eV/atom. Number 10: density 8.1 g/cm³, final energy -5.53 eV/atom. Number 11: density 4.9 g/cm³, final energy -3.51 eV/atom. Number 12: density 15.4 g/cm³, final energy -3.14 eV/atom.